No. 1
As2OsRh: optimized geometry, GGA-PBE.

Geometry as POSCAR:
```
As2OsRh
1.0
0.000 3.114 3.114
3.114 0.000 3.114
3.114 3.114 0.000
As Os Rh
2 1 1
Cartesian
1.557 1.557 1.557 As
4.670 4.670 4.670 As
0.000 0.000 0.000 Os
3.114 3.114 3.114 Rh
```

Results
**Formation energy**: 0.200 eV/atom
**V**: 15.1 A^3/atom

=====

No. 2
As2OsRh: optimized geometry, GGA-PBE.

Geometry as POSCAR:
```
As2OsRh
1.0
3.974 -1.516 0.000
3.974 1.516 0.000
-1.108 0.000 5.073
As Os Rh
2 1 1
Cartesian
1.682 0.000 1.226 As
5.160 0.000 3.846 As
3.974 0.000 0.000 Os
-0.554 0.000 2.536 Rh
```

Results
**Formation energy**: 0.076 eV/atom
**V**: 15.3 A^3/atom

=====

No. 3
As6Os2Rh: optimized geometry, GGA-PBE.

Geometry as POSCAR:
```
As6Os2Rh
1.0
5.681 0.000 0.000
0.000 5.681 0.000
0.000 0.000 11.408
As Os Rh
12 4 2
Cartesian
1.105 1.105 0.000 As
1.123 1.123 3.796 As
1.123 1.123 7.612 As
1.717 3.964 1.908 As
1.717 3.964 9.500 As
1.736 3.946 5.704 As
3.946 1.736 5.704 As
3.964 1.717 1.908 As
3.964 1.717 9.500 As
4.558 4.558 3.796 As
4.558 4.558 7.612 As
4.577 4.577 0.000 As
0.000 0.000 1.949 Os
0.000 0.000 9.459 Os
2.841 2.841 3.755 Os
2.841 2.841 7.652 Os
0.000 0.000 5.704 Rh
2.841 2.841 0.000 Rh
```

Results
**Formation energy**: 0.088 eV/atom
**V**: 20.5 A^3/atom

=====

No. 4
As2OsRh: optimized geometry, GGA-PBE.

Geometry as POSCAR:
```
As2OsRh
1.0
3.071 0.000 0.000
0.000 3.852 0.000
0.000 0.000 5.229
As Os Rh
2 1 1
Cartesian
0.000 0.000 0.000 As
1.535 1.926 1.929 As
0.000 0.000 2.716 Os
1.535 1.926 4.502 Rh
```

Results
**Formation energy**: 0.011 eV/atom
**V**: 15.5 A^3/atom

=====

No. 5
As2OsRh: optimized geometry, GGA-PBE.

Geometry as POSCAR:
```
As2OsRh
1.0
4.253 0.000 0.000
0.000 3.014 0.000
-2.088 0.000 4.739
As Os Rh
2 1 1
Cartesian
0.000 0.000 0.000 As
-1.044 1.507 2.369 As
1.082 0.000 2.369 Os
2.127 1.507 0.000 Rh
```

Results
**Formation energy**: 0.084 eV/atom
**V**: 15.2 A^3/atom

=====

No. 6
As4OsRh: optimized geometry, GGA-PBE.

Geometry as POSCAR:
```
As4OsRh
1.0
0.000 3.733 3.733
3.733 0.000 3.733
3.733 3.733 0.000
As Os Rh
4 1 1
Cartesian
0.932 0.932 0.932 As
2.802 2.802 0.932 As
2.802 0.932 2.802 As
0.932 2.802 2.802 As
5.600 5.600 5.600 Os
3.733 3.733 3.733 Rh
```

Results
**Formation energy**: 1.014 eV/atom
**V**: 17.3 A^3/atom

=====

Question: Which formula does entry 1 have?
Answer: As2OsRh